Record 1
First-principles (PBE-GGA) data for crystalline CdMoSe2Br at its relaxed geometry, as listed in Alexandria.

Calculated values
For the uncorrected formation energy, the calculation gives 35 meV per atom. The calculation puts the energy above the most stable polymorph in this dataset at 0.0 kJ per mole of atoms.

Lattice parameters (Å, degrees): 4.7812 4.7812 5.8583 90.00 90.00 90.00
With the nearest neighbours (Å) after each atom.
Space group P4/mmm (No. 123)
Symmetry-distinct sites (fractional):
Cd (0.0000, 0.0000, 0.0000)  2 Mo 2.93
Mo (0.0000, 0.0000, 0.5000)  4 Se 2.39
Se (0.0000, 0.5000, 0.5000)  2 Mo 2.39
Br (0.5000, 0.5000, 0.0000)  4 Cd 3.38, 8 Se 3.78

Record 2
First-principles (PBE-GGA) data for crystalline Pm5GaCu4 at its relaxed geometry, as listed in Alexandria.

Calculated values
Its formation energy is -0.243 eV per atom.

Lattice parameters (Å, degrees): 3.5694 3.5694 18.1093 90.00 90.00 90.00
With the nearest neighbours (Å) after each atom.
Space group P4/mmm (No. 123)
Symmetry-distinct sites (fractional):
Pm (0.0000, 0.0000, 0.0000)  8 Cu 3.09
Pm (0.0000, 0.0000, 0.1975)  8 Cu 3.07-3.10
Pm (0.0000, 0.0000, 0.3948)  4 Cu 3.11, 4 Ga 3.16
Ga (0.5000, 0.5000, 0.5000)  8 Pm 3.16
Cu (0.5000, 0.5000, 0.0984)  8 Pm 3.09-3.10
Cu (0.5000, 0.5000, 0.2941)  8 Pm 3.07-3.11

Record 3
First-principles (PBE-GGA) data for crystalline HfMnPdAu at its relaxed geometry, as listed in Alexandria.

Calculated values
Its formation energy is -0.363 eV per atom.

Lattice parameters (Å, degrees): 6.5357 6.5357 6.5357 90.00 90.00 90.00
With the nearest neighbours (Å) after each atom.
Space group F-43m (No. 216)
Symmetry-distinct sites (fractional):
Hf (0.0000, 0.0000, 0.0000)  4 Pd 2.83, 4 Au 2.83
Mn (0.0000, 0.0000, 0.5000)  4 Pd 2.83, 4 Au 2.83
Pd (0.2500, 0.2500, 0.7500)  4 Hf 2.83, 4 Mn 2.83
Au (0.2500, 0.2500, 0.2500)  4 Hf 2.83, 4 Mn 2.83

Record 4
First-principles (PBE-GGA) data for crystalline La4Tl5Sn at its relaxed geometry, as listed in Alexandria.

Calculated values
Its formation energy is -0.035 eV per atom. The calculation puts the energy above the most stable polymorph in this dataset at 39.4 kJ per mole of atoms.

Lattice parameters (Å, degrees): 7.6865 11.4515 8.4948 90.00 90.00 90.00
With the nearest neighbours (Å) after each atom.
Space group Pmmn (No. 59, origin choice 2)
Symmetry-distinct sites (fractional):
La (0.0014, 0.2500, 0.0170)  1 Sn 3.20, 5 Tl 3.28-3.35
La (0.2500, 0.5011, 0.5193)  1 Sn 3.17, 5 Tl 3.23-3.33
Tl (0.0346, 0.5069, 0.1859)  2 Tl 3.21-3.31, 4 La 3.28-3.33
Tl (0.2500, 0.2500, 0.6931)  4 La 3.23-3.35
Sn (0.2500, 0.7500, 0.6822)  4 La 3.17-3.20

Record 5
First-principles (PBE-GGA) data for crystalline KPm3As at its relaxed geometry, as listed in Alexandria.

Calculated values
Its formation energy is -0.151 eV per atom.

Lattice parameters (Å, degrees): 5.7872 5.7872 5.7872 90.00 90.00 90.00
With the nearest neighbours (Å) after each atom.
Space group Pm-3m (No. 221)
Symmetry-distinct sites (fractional):
K (0.0000, 0.0000, 0.0000)  12 Pm 4.09
Pm (0.0000, 0.5000, 0.5000)  2 As 2.89
As (0.5000, 0.5000, 0.5000)  6 Pm 2.89

Record 6
First-principles (PBE-GGA) data for crystalline TlSn3F at its relaxed geometry, as listed in Alexandria.

Calculated values
For the uncorrected formation energy, the calculation gives -348 meV per atom. The calculation puts the energy above the most stable polymorph in this dataset at 0.0 kJ per mole of atoms.

Lattice parameters (Å, degrees): 5.1044 5.1044 5.1044 90.00 90.00 90.00
With the nearest neighbours (Å) after each atom.
Space group Pm-3m (No. 221)
Symmetry-distinct sites (fractional):
Tl (0.0000, 0.0000, 0.0000)  12 Sn 3.61
Sn (0.0000, 0.5000, 0.5000)  2 F 2.55
F (0.5000, 0.5000, 0.5000)  6 Sn 2.55

| no. | N(E_F) (states/eV/cell) | theoretical density (g cm⁻³) |
| --- | --- | --- |
| 1 | 3.711 | 5.5 |
| 2 | 6.872 | 7.5 |
| 3 | 13.102 | 12.8 |
| 4 | 17.214 | 7.5 |
| 5 | 10.462 | 4.7 |
| 6 | 2.410 | 7.2 |